## PIr2Ru (PBE-GGA)

Data for crystalline PIr2Ru at its relaxed geometry.

Calculated values
Electronic total energy, eV per cell: -32.9
Magnetic moment, μB per formula unit: 0.00
Space-group type: No. 38

Unit cell a=5.498 b=5.498 c=3.749 alpha=90.00 beta=90.00 gamma=150.54
Sites, in units of the cell vectors:
1 Ir 0.436 0.564 0.500
2 P 0.290 0.710 0.000
3 Ir 0.068 0.932 0.000
4 Ru 0.713 0.287 0.500

=====

## PIr2Ru (PBE-GGA)

Data for crystalline PIr2Ru at its relaxed geometry.

Calculated values
Electronic total energy, eV per cell: -31.3
Magnetic moment, μB per formula unit: 0.00
Space-group type: No. 35

Unit cell a=2.802 b=2.802 c=8.510 alpha=90.00 beta=90.00 gamma=120.73
Sites, in units of the cell vectors:
1 Ru 0.500 0.500 0.280
2 Ir 0.500 0.500 0.721
3 P 0.000 0.000 0.495
4 Ir 0.000 0.000 0.004